[1]
{"formula": "ZrSiIr", "functional": "GGA-PBEsol", "state": "relaxed", "lattice": [[6.517, 0.000, 0.000], [0.000, 3.940, 0.000], [0.000, 0.000, 7.364]], "species": ["Zr", "Zr", "Zr", "Zr", "Si", "Si", "Si", "Si", "Ir", "Ir", "Ir", "Ir"], "frac_coords": [[0.018, 0.250, 0.182], [0.482, 0.750, 0.682], [0.518, 0.250, 0.318], [0.982, 0.750, 0.818], [0.222, 0.750, 0.381], [0.278, 0.250, 0.881], [0.722, 0.750, 0.119], [0.778, 0.250, 0.619], [0.151, 0.250, 0.565], [0.349, 0.750, 0.065], [0.651, 0.250, 0.935], [0.849, 0.750, 0.435]], "spacegroup": "Pnma (62)", "total_energy_ev_per_atom": -9.40, "vol_a3_per_atom": 15.8, "e_form_raw_ev_per_atom": -1.18}

[2]
{"formula": "ZrSiIr2", "functional": "GGA-PBEsol", "state": "relaxed", "lattice": [[-1.903, 1.903, 4.186], [1.903, -1.903, 4.186], [1.903, 1.903, -4.186]], "species": ["Zr", "Si", "Ir", "Ir"], "frac_coords": [[0.000, 0.000, 0.000], [0.250, 0.750, 0.500], [0.500, 0.500, 0.000], [0.750, 0.250, 0.500]], "spacegroup": "I-4m2 (119)", "total_energy_ev_per_atom": -9.26, "vol_a3_per_atom": 15.2, "e_form_raw_ev_per_atom": -0.63}

- Number 1 is which compound?
  ZrSiIr

Please write out number 1 again, unchanged.
{"formula": "ZrSiIr", "functional": "GGA-PBEsol", "state": "relaxed", "lattice": [[6.517, 0.000, 0.000], [0.000, 3.940, 0.000], [0.000, 0.000, 7.364]], "species": ["Zr", "Zr", "Zr", "Zr", "Si", "Si", "Si", "Si", "Ir", "Ir", "Ir", "Ir"], "frac_coords": [[0.018, 0.250, 0.182], [0.482, 0.750, 0.682], [0.518, 0.250, 0.318], [0.982, 0.750, 0.818], [0.222, 0.750, 0.381], [0.278, 0.250, 0.881], [0.722, 0.750, 0.119], [0.778, 0.250, 0.619], [0.151, 0.250, 0.565], [0.349, 0.750, 0.065], [0.651, 0.250, 0.935], [0.849, 0.750, 0.435]], "spacegroup": "Pnma (62)", "total_energy_ev_per_atom": -9.40, "vol_a3_per_atom": 15.8, "e_form_raw_ev_per_atom": -1.18}